# V4GaS8 (GGA-PBEsol, optimized geometry)
data_V4GaS8
_chemical_formula_sum 'V4 Ga1 S8'
_cell_length_a 6.717
_cell_length_b 6.717
_cell_length_c 6.717
_cell_angle_alpha 60.00
_cell_angle_beta 60.00
_cell_angle_gamma 60.00
_space_group_name_H-M_alt 'P 1'
_space_group_IT_number 1
loop_
_space_group_symop_operation_xyz
'x,y,z'
loop_
_atom_site_label
_atom_site_type_symbol
_atom_site_fract_x
_atom_site_fract_y
_atom_site_fract_z
S1 S 0.108 0.631 0.631
S2 S 0.631 0.631 0.108
S3 S 0.137 0.588 0.137
S4 S 0.137 0.137 0.137
S5 S 0.631 0.631 0.631
S6 S 0.137 0.137 0.588
S7 S 0.631 0.108 0.631
S8 S 0.588 0.137 0.137
V1 V 0.396 0.396 0.812
V2 V 0.396 0.396 0.396
V3 V 0.812 0.396 0.396
V4 V 0.396 0.812 0.396
Ga1 Ga 0.000 0.000 0.000
# E_form (uncorrected)	-0.995	eV/atom


# Y9Ga5S21 (GGA-PBEsol, optimized geometry)
data_Y9Ga5S21
_chemical_formula_sum 'Y18 Ga10 S42'
_cell_length_a 11.277
_cell_length_b 11.277
_cell_length_c 11.277
_cell_angle_alpha 94.22
_cell_angle_beta 94.22
_cell_angle_gamma 94.22
_space_group_name_H-M_alt 'P 1'
_space_group_IT_number 1
loop_
_space_group_symop_operation_xyz
'x,y,z'
loop_
_atom_site_label
_atom_site_type_symbol
_atom_site_fract_x
_atom_site_fract_y
_atom_site_fract_z
S1 S 0.633 0.715 0.161
S2 S 0.677 0.011 0.346
S3 S 0.538 0.452 0.008
S4 S 0.284 0.384 0.149
S5 S 0.868 0.788 0.354
S6 S 0.990 0.240 0.098
S7 S 0.512 0.176 0.846
S8 S 0.788 0.354 0.868
S9 S 0.354 0.868 0.788
S10 S 0.240 0.098 0.990
S11 S 0.966 0.061 0.479
S12 S 0.061 0.479 0.966
S13 S 0.662 0.898 0.763
S14 S 0.047 0.794 0.944
S15 S 0.814 0.301 0.381
S16 S 0.479 0.966 0.061
S17 S 0.619 0.731 0.482
S18 S 0.944 0.047 0.794
S19 S 0.098 0.990 0.240
S20 S 0.482 0.619 0.731
S21 S 0.203 0.111 0.691
S22 S 0.301 0.381 0.814
S23 S 0.149 0.284 0.384
S24 S 0.381 0.814 0.301
S25 S 0.898 0.763 0.662
S26 S 0.715 0.161 0.633
S27 S 0.008 0.538 0.452
S28 S 0.346 0.677 0.011
S29 S 0.846 0.512 0.176
S30 S 0.384 0.149 0.284
S31 S 0.691 0.203 0.111
S32 S 0.560 0.413 0.308
S33 S 0.111 0.691 0.203
S34 S 0.413 0.308 0.560
S35 S 0.731 0.482 0.619
S36 S 0.763 0.662 0.898
S37 S 0.176 0.846 0.512
S38 S 0.161 0.633 0.715
S39 S 0.452 0.008 0.538
S40 S 0.308 0.560 0.413
S41 S 0.011 0.346 0.677
S42 S 0.794 0.944 0.047
Y1 Y 0.740 0.115 0.886
Y2 Y 0.115 0.886 0.740
Y3 Y 0.553 0.776 0.933
Y4 Y 0.555 0.395 0.768
Y5 Y 0.454 0.229 0.074
Y6 Y 0.229 0.074 0.454
Y7 Y 0.249 0.875 0.099
Y8 Y 0.099 0.249 0.875
Y9 Y 0.875 0.099 0.249
Y10 Y 0.933 0.553 0.776
Y11 Y 0.074 0.454 0.229
Y12 Y 0.212 0.433 0.587
Y13 Y 0.587 0.212 0.433
Y14 Y 0.886 0.740 0.115
Y15 Y 0.768 0.555 0.395
Y16 Y 0.395 0.768 0.555
Y17 Y 0.776 0.933 0.553
Y18 Y 0.433 0.587 0.212
Ga1 Ga 0.163 0.163 0.163
Ga2 Ga 0.226 0.551 0.885
Ga3 Ga 0.050 0.722 0.390
Ga4 Ga 0.358 0.358 0.358
Ga5 Ga 0.859 0.859 0.859
Ga6 Ga 0.551 0.885 0.226
Ga7 Ga 0.722 0.390 0.050
Ga8 Ga 0.885 0.226 0.551
Ga9 Ga 0.390 0.050 0.722
Ga10 Ga 0.665 0.665 0.665
# E_form (uncorrected)	-1.620	eV/atom